Entry 1:
# Ho3Al4Ni

A geometry-optimized Ho3Al4Ni structure (PBE, Alexandria).

Calculated values
SG: Pmmn (59)
ΔE_f (eV/atom): -0.42

POSCAR file:
```
Ho3Al4Ni
1.0
5.503 0.000 0.000
0.000 10.504 0.000
0.000 0.000 5.967
Ho Al Ni
6 8 2
Cartesian
1.376 0.140 1.075
1.376 5.112 1.075
1.376 7.878 3.320
4.127 2.626 2.647
4.127 5.392 4.891
4.127 10.364 4.891
0.036 7.878 0.178
1.376 1.147 3.965
1.376 4.105 3.965
2.716 7.878 0.178
2.787 2.626 5.789
4.127 6.399 2.001
4.127 9.357 2.001
5.467 2.626 5.789
1.376 2.626 1.952
4.127 7.878 4.015
```



Entry 2:
# Ho2Al3Ni2

A geometry-optimized Ho2Al3Ni2 structure (PBE, Alexandria).

Calculated values
SG: C2/m (12)
ΔE_f (eV/atom): -0.60

POSCAR file:
```
Ho2Al3Ni2
1.0
10.088 0.000 0.000
0.000 4.059 0.000
-3.115 0.000 6.120
Ho Al Ni
4 6 4
Cartesian
0.557 0.000 1.716
1.372 2.030 4.405
5.601 2.030 1.716
6.416 0.000 4.405
-1.557 2.030 3.060
-1.504 2.030 5.752
3.433 0.000 0.369
3.487 0.000 3.060
3.540 0.000 5.752
8.478 2.030 0.369
-0.859 0.000 4.335
2.789 2.030 1.785
4.185 2.030 4.335
7.833 0.000 1.785
```



Entry 3:
# Ho4AlNi

A geometry-optimized Ho4AlNi structure (PBE, Alexandria).

Calculated values
SG: P-1 (2)
ΔE_f (eV/atom): -0.25
ΔE to the lowest computed polymorph (meV per atom): 94

POSCAR file:
```
Ho4AlNi
1.0
6.008 0.000 0.000
-1.238 7.431 0.000
-1.265 -2.944 6.849
Ho Al Ni
8 2 2
Cartesian
-0.646 0.751 3.050
-0.756 -1.033 6.006
1.254 3.765 1.995
2.386 -0.239 1.521
1.118 4.726 5.328
2.251 0.721 4.854
4.261 5.520 0.843
4.150 3.735 3.799
-0.386 2.050 6.009
3.890 2.436 0.840
0.878 -1.454 3.414
2.627 5.941 3.435
```



Entry 4:
# HoAl6Ni6

A geometry-optimized HoAl6Ni6 structure (PBE, Alexandria).

Calculated values
SG: Immm (71)
ΔE_f (eV/atom): -0.59

POSCAR file:
```
HoAl6Ni6
1.0
-2.473 4.160 4.316
2.473 -4.160 4.316
2.473 4.160 -4.316
Ho Al Ni
1 6 6
Cartesian
0.000 0.000 0.000
2.473 0.000 1.672
0.000 2.836 0.000
0.000 0.000 2.997
0.000 0.000 5.635
0.000 5.484 0.000
0.000 4.160 2.644
1.236 2.080 -2.158
1.236 -2.080 2.158
2.473 1.944 0.000
-1.236 2.080 2.158
1.236 2.080 2.158
0.000 2.216 4.316
```



Entry 5:
# Ho4Al3Ni

A geometry-optimized Ho4Al3Ni structure (PBE, Alexandria).

Calculated values
SG: P4/mmm (123)
ΔE_f (eV/atom): -0.40
ΔE to the lowest computed polymorph (meV per atom): 0

POSCAR file:
```
Ho4Al3Ni
1.0
3.480 0.000 0.000
0.000 3.480 0.000
0.000 0.000 14.559
Ho Al Ni
4 3 1
Cartesian
0.000 0.000 1.608
0.000 0.000 5.378
0.000 0.000 9.181
0.000 0.000 12.951
1.740 1.740 3.511
1.740 1.740 7.280
1.740 1.740 11.048
1.740 1.740 0.000
```



Entry 6:
# HoAl3Ni2

A geometry-optimized HoAl3Ni2 structure (PBE, Alexandria).

Calculated values
SG: P6/mmm (191)
ΔE_f (eV/atom): -0.66

POSCAR file:
```
HoAl3Ni2
1.0
9.006 0.000 0.000
-4.503 7.799 0.000
0.000 0.000 4.064
Ho Al Ni
3 9 6
Cartesian
0.000 0.000 0.000
0.000 5.200 2.032
4.503 2.600 2.032
-1.337 2.315 2.032
-2.251 3.900 0.000
-3.166 5.484 2.032
2.673 0.000 2.032
1.337 2.315 2.032
4.503 0.000 0.000
2.251 3.900 0.000
6.333 0.000 2.032
3.166 5.484 2.032
0.000 2.838 0.000
-2.046 6.381 0.000
2.457 1.419 0.000
2.046 6.381 0.000
6.549 1.419 0.000
4.503 4.962 0.000
```



Entry 7:
# HoAl3Ni3

A geometry-optimized HoAl3Ni3 structure (PBE, Alexandria).

Calculated values
SG: Pm-3n (223)
ΔE_f (eV/atom): -0.01

POSCAR file:
```
HoAl3Ni3
1.0
6.392 0.000 0.000
0.000 6.392 0.000
0.000 0.000 6.392
Ho Al Ni
2 6 6
Cartesian
0.000 0.000 0.000
3.196 3.196 3.196
0.000 1.598 3.196
0.000 4.794 3.196
1.598 3.196 0.000
3.196 0.000 1.598
3.196 0.000 4.794
4.794 3.196 0.000
0.000 3.196 1.598
0.000 3.196 4.794
1.598 0.000 3.196
3.196 1.598 0.000
3.196 4.794 0.000
4.794 0.000 3.196
```